Entry 1:
Crystalline AgMoCl2 at its relaxed geometry, computed with PBE.

Unit cell a=3.0986 b=5.3021 c=9.7254 alpha=90.00 beta=90.00 gamma=90.00
Element x y z (fractional)
Ag: 0.0000 0.0000 0.0000
Ag: 0.5000 0.5000 0.0000
Mo: 0.0000 0.5000 0.7556
Mo: 0.5000 0.0000 0.7556
Cl: 0.0000 0.0000 0.5651
Cl: 0.0000 0.5000 0.2126
Cl: 0.5000 0.0000 0.2126
Cl: 0.5000 0.5000 0.5651

Summary:
space group: No. 35
energy above the most stable polymorph in this dataset: 0.315 eV/atom



Entry 2:
Crystalline AgMoCl4 at its relaxed geometry, computed with PBE.

Unit cell a=7.8936 b=7.8936 c=6.3637 alpha=106.39 beta=106.39 gamma=62.66
Element x y z (fractional)
Ag: 0.0936 0.9064 0.7500
Ag: 0.9064 0.0936 0.2500
Mo: 0.3838 0.6162 0.2500
Mo: 0.6162 0.3838 0.7500
Cl: 0.0642 0.7180 0.0154
Cl: 0.2820 0.9358 0.4846
Cl: 0.2932 0.4897 0.4959
Cl: 0.4897 0.2932 0.9959
Cl: 0.5103 0.7068 0.0041
Cl: 0.7068 0.5103 0.5041
Cl: 0.7180 0.0642 0.5154
Cl: 0.9358 0.2820 0.9846

Summary:
space group: No. 15
energy above the most stable polymorph in this dataset: 0.000 eV/atom



Entry 3:
Crystalline AgMoCl2 at its relaxed geometry, computed with PBE.

Unit cell a=2.9818 b=5.0331 c=13.1044 alpha=90.00 beta=90.00 gamma=90.00
Element x y z (fractional)
Ag: 0.0000 0.0000 0.0000
Ag: 0.5000 0.5000 0.5000
Mo: 0.0000 0.0000 0.5000
Mo: 0.5000 0.5000 0.0000
Cl: 0.0000 0.5000 0.1488
Cl: 0.0000 0.5000 0.8512
Cl: 0.5000 0.0000 0.3512
Cl: 0.5000 0.0000 0.6488

Summary:
space group: No. 71
energy above the most stable polymorph in this dataset: 0.046 eV/atom



Entry 4:
Crystalline AgMoCl2 at its relaxed geometry, computed with PBE.

Unit cell a=3.0525 b=3.0525 c=8.1779 alpha=90.00 beta=90.00 gamma=90.00
Element x y z (fractional)
Ag: 0.0000 0.0000 0.0000
Mo: 0.5000 0.5000 0.7600
Cl: 0.0000 0.0000 0.5854
Cl: 0.5000 0.5000 0.2055

Summary:
space group: No. 99
energy above the most stable polymorph in this dataset: 0.282 eV/atom



Entry 5:
Crystalline AgMoCl2 at its relaxed geometry, computed with PBE.

Unit cell a=6.9470 b=6.9470 c=6.9470 alpha=90.00 beta=90.00 gamma=90.00
Element x y z (fractional)
Ag: 0.0000 0.0000 0.0000
Ag: 0.0000 0.5000 0.5000
Ag: 0.5000 0.0000 0.5000
Ag: 0.5000 0.5000 0.0000
Mo: 0.2500 0.2500 0.2500
Mo: 0.2500 0.7500 0.7500
Mo: 0.7500 0.2500 0.7500
Mo: 0.7500 0.7500 0.2500
Cl: 0.0000 0.0000 0.5000
Cl: 0.0000 0.5000 0.0000
Cl: 0.2500 0.2500 0.7500
Cl: 0.2500 0.7500 0.2500
Cl: 0.5000 0.0000 0.0000
Cl: 0.5000 0.5000 0.5000
Cl: 0.7500 0.2500 0.2500
Cl: 0.7500 0.7500 0.7500

Summary:
space group: No. 216
energy above the most stable polymorph in this dataset: 0.870 eV/atom



Entry 6:
Crystalline AgMoCl2 at its relaxed geometry, computed with PBE.

Unit cell a=6.5383 b=8.3579 c=3.3296 alpha=90.00 beta=114.61 gamma=90.00
Element x y z (fractional)
Ag: 0.0000 0.0000 0.0000
Ag: 0.5000 0.5000 0.0000
Mo: 0.0000 0.5000 0.0000
Mo: 0.5000 0.0000 0.0000
Cl: 0.2500 0.2500 0.0000
Cl: 0.2500 0.7500 0.0000
Cl: 0.7500 0.2500 0.0000
Cl: 0.7500 0.7500 0.0000

Summary:
space group: No. 12
energy above the most stable polymorph in this dataset: 0.512 eV/atom



Entry 7:
Crystalline Ag3MoCl at its relaxed geometry, computed with PBE.

Unit cell a=5.1680 b=5.1680 c=5.1680 alpha=90.00 beta=90.00 gamma=90.00
Element x y z (fractional)
Ag: 0.0000 0.0000 0.5000
Ag: 0.0000 0.5000 0.0000
Ag: 0.5000 0.0000 0.0000
Mo: 0.0000 0.0000 0.0000
Cl: 0.5000 0.5000 0.5000

Summary:
space group: No. 221
energy above the most stable polymorph in this dataset: 0.205 eV/atom



Entry 8:
Crystalline Ag2MoCl2 at its relaxed geometry, computed with PBE.

Unit cell a=4.5080 b=4.5080 c=11.1492 alpha=90.00 beta=90.00 gamma=90.00
Element x y z (fractional)
Ag: 0.0000 0.0000 0.1172
Ag: 0.0000 0.0000 0.8828
Ag: 0.5000 0.5000 0.3828
Ag: 0.5000 0.5000 0.6172
Mo: 0.0000 0.0000 0.5000
Mo: 0.5000 0.5000 0.0000
Cl: 0.0000 0.5000 0.2500
Cl: 0.0000 0.5000 0.7500
Cl: 0.5000 0.0000 0.2500
Cl: 0.5000 0.0000 0.7500

Summary:
space group: No. 139
energy above the most stable polymorph in this dataset: 0.010 eV/atom



Entry 9:
Crystalline AgMoCl2 at its relaxed geometry, computed with PBE.

Unit cell a=3.4046 b=4.1075 c=6.1379 alpha=90.00 beta=90.00 gamma=90.00
Element x y z (fractional)
Ag: 0.0000 0.0000 0.0000
Mo: 0.5000 0.0000 0.5000
Cl: 0.0000 0.5000 0.5000
Cl: 0.5000 0.5000 0.0000

Summary:
space group: No. 47
energy above the most stable polymorph in this dataset: 0.544 eV/atom



Entry 10:
Crystalline Ag6MoCl12 at its relaxed geometry, computed with PBE.

Unit cell a=7.8567 b=7.8567 c=7.8567 alpha=94.98 beta=94.98 gamma=94.98
Element x y z (fractional)
Ag: 0.1308 0.6485 0.8570
Ag: 0.1430 0.8692 0.3515
Ag: 0.3515 0.1430 0.8692
Ag: 0.6485 0.8570 0.1308
Ag: 0.8570 0.1308 0.6485
Ag: 0.8692 0.3515 0.1430
Mo: 0.5000 0.5000 0.5000
Cl: 0.0953 0.8956 0.6714
Cl: 0.1044 0.3286 0.9047
Cl: 0.2134 0.5388 0.4223
Cl: 0.3286 0.9047 0.1044
Cl: 0.4223 0.2134 0.5388
Cl: 0.4612 0.5777 0.7866
Cl: 0.5388 0.4223 0.2134
Cl: 0.5777 0.7866 0.4612
Cl: 0.6714 0.0953 0.8956
Cl: 0.7866 0.4612 0.5777
Cl: 0.8956 0.6714 0.0953
Cl: 0.9047 0.1044 0.3286

Summary:
space group: No. 148



Entry 11:
Crystalline AgMoCl2 at its relaxed geometry, computed with PBE.

Unit cell a=2.9580 b=5.6712 c=10.9101 alpha=90.00 beta=90.00 gamma=90.00
Element x y z (fractional)
Ag: 0.0000 0.0000 0.0000
Ag: 0.5000 0.5000 0.0000
Mo: 0.0000 0.0000 0.5000
Mo: 0.5000 0.5000 0.5000
Cl: 0.0000 0.5000 0.3228
Cl: 0.0000 0.5000 0.6772
Cl: 0.5000 0.0000 0.3228
Cl: 0.5000 0.0000 0.6772

Summary:
space group: No. 65
energy above the most stable polymorph in this dataset: 0.168 eV/atom



Entry 12:
Crystalline AgMoCl4 at its relaxed geometry, computed with PBE.

Unit cell a=5.8643 b=5.8643 c=5.8643 alpha=60.00 beta=60.00 gamma=60.00
Element x y z (fractional)
Ag: 0.0000 0.0000 0.0000
Mo: 0.2500 0.2500 0.2500
Cl: 0.1241 0.6253 0.6253
Cl: 0.6253 0.1241 0.6253
Cl: 0.6253 0.6253 0.1241
Cl: 0.6253 0.6253 0.6253

Summary:
space group: No. 216
energy above the most stable polymorph in this dataset: 1.635 eV/atom



Per-record formation energy without anion corrections, eV per formula unit: 0.64 -4.13 -0.44 0.51 2.86 1.43 7.35 3.34 1.56 -10.45 0.05 5.68
Per-record calculated volume, Å³/atom: 20.0 27.7 24.6 19.0 21.0 20.7 27.6 22.7 21.5 25.2 22.9 23.8